Here is an optimized crystal structure of BeCoBTe from the Alexandria database. Energies are from PBE.

Cell and atoms, written as extended XYZ:
```
4
Lattice="3.7881 0.0000 0.0000 1.0184 3.6795 0.0000 1.5784 -0.1317 4.2395" Properties=species:S:1:pos:R:3 pbc="T T T"
Be 0.0000 0.0000 0.0000
Co 1.9593 1.4595 0.0945
B 2.8938 3.1927 0.1357
Te 1.6718 1.7229 2.6105
```

Polymorph energy (0 for the lowest one) = 188 meV per atom
Energy relative to the elements, uncorrected = 0.246 eV per atom
M_tot = 0.00 Bohr magnetons per cell